# MnCuO3

Crystalline MnCuO3 at its relaxed geometry (GGA+U, the Alexandria database).

Summary:
As for the magnetic moment: 4.0 μB per cell. The total energy comes out at -6.2901 eV/atom. Its volume is 10.05 Å³/atom.

Cell: 5.423 5.423 5.423 Å, 55.31 55.31 55.31°
Element x y z (fractional)
Mn (0.155, 0.155, 0.155)
Mn (0.845, 0.845, 0.845)
Cu (0.357, 0.357, 0.357)
Cu (0.643, 0.643, 0.643)
O (0.052, 0.442, 0.768)
O (0.232, 0.948, 0.558)
O (0.442, 0.768, 0.052)
O (0.558, 0.232, 0.948)
O (0.768, 0.052, 0.442)
O (0.948, 0.558, 0.232)